No. 1
Li2MnBe at its PBEsol-relaxed geometry, computed with meta-GGA SCAN. Values from VASP.

Output
Space-group type: P4mm
Energy of formation in meV/atom: 258
Volume in Å³/cell: 46
Final energy in eV per atom: -6.59

Structure (Quantum ESPRESSO input):
```
&SYSTEM
  ibrav = 0, nat = 4, ntyp = 3
/
ATOMIC_SPECIES
Li 6.94 Li.upf
Mn 54.94 Mn.upf
Be 9.01 Be.upf
CELL_PARAMETERS angstrom
2.336 0.000 0.000
0.000 2.336 0.000
0.000 0.000 8.366
ATOMIC_POSITIONS crystal
Li 0.000 0.000 0.000
Li 0.500 0.500 0.305
Mn 0.000 0.000 0.558
Be 0.500 0.500 0.759
```



No. 2
CaBeAl2Tc at its PBEsol-relaxed geometry, computed with meta-GGA SCAN. Values from VASP.

Output
Space-group type: P4/mmm
Energy of formation in meV/atom: 741
Volume in Å³/cell: 89
Final energy in eV per atom: -12.18

Structure (Quantum ESPRESSO input):
```
&SYSTEM
  ibrav = 0, nat = 5, ntyp = 4
/
ATOMIC_SPECIES
Ca 40.08 Ca.upf
Be 9.01 Be.upf
Al 26.98 Al.upf
Tc 98.00 Tc.upf
CELL_PARAMETERS angstrom
4.292 0.000 0.000
0.000 4.292 0.000
0.000 0.000 4.822
ATOMIC_POSITIONS crystal
Ca 0.000 0.000 0.000
Be 0.000 0.000 0.500
Al 0.000 0.500 0.500
Al 0.500 0.000 0.500
Tc 0.500 0.500 0.000
```



Question: Which of these has the highest energy of formation?
Answer: CaBeAl2Tc



Question: Which value of volume does entry 2 give?
Answer: 89 Å³/cell